A plane-wave DFT calculation with GGA+U was carried out for a geometry-optimized V2ZnO4 structure.

## Properties
- excess energy over the best structure of this formula in the dataset (meV per atom) = 75
- total magnetization (μB/cell) = 64.00
- total energy (eV per atom) = -6.98

Unit cell a=10.4837 b=6.1150 c=20.1276 alpha=90.00 beta=99.98 gamma=90.00
Closest atoms and distances in Å follow each position.
Space group Cm (No. 8)
Inequivalent atoms, fractional coordinates:
V 0.0000 0.0000 0.0000  4 O 1.94-1.97
V 0.0005 0.5000 0.4987  4 O 1.95-1.98
V 0.0980 0.5000 0.7825  6 O 2.02-2.09
V 0.1948 0.0000 0.5623  4 O 1.95
V 0.2199 0.2519 0.9064  6 O 2.02-2.11
V 0.2237 0.2502 0.4056  6 O 2.02-2.09
V 0.2510 0.0000 0.7510  4 O 1.96-1.99
V 0.2508 0.5000 0.2476  4 O 1.94-1.97
V 0.3483 0.0000 0.0327  6 O 2.02-2.11
V 0.4467 0.0000 0.3135  4 O 1.94-1.96
V 0.4728 0.2519 0.6559  6 O 2.02-2.13
V 0.4735 0.2490 0.1559  6 O 2.02-2.09
Zn 0.0993 0.0000 0.2807  6 O 2.12-2.17
Zn 0.1964 0.5000 0.0629  4 O 2.00-2.03
Zn 0.2234 0.0000 0.1561  6 O 2.12-2.17
Zn 0.2249 0.5000 0.6562  6 O 2.11-2.16
Zn 0.3481 0.5000 0.5312  6 O 2.13-2.15
Zn 0.4442 0.5000 0.8122  4 O 1.99-2.02
Zn 0.4734 0.0000 0.9057  6 O 2.10-2.16
Zn 0.4732 0.5000 0.4056  6 O 2.12-2.15
O 0.0258 0.5000 0.0974  1 Zn 2.03, 3 V 2.06-2.08
O 0.0302 0.5000 0.5988  3 V 1.98-2.07, 1 Zn 2.16
O 0.0320 0.0000 0.0979  3 V 1.94-2.08, 1 Zn 2.14
O 0.0324 0.0000 0.5972  3 V 1.95-2.08, 1 Zn 2.15
O 0.0456 0.2662 0.8452  2 Zn 1.99-2.10, 2 V 2.02-2.04
O 0.0469 0.2417 0.3469  2 V 1.95-2.02, 2 Zn 2.12-2.13
O 0.1514 0.2418 0.2151  2 V 1.94-2.03, 2 Zn 2.12
O 0.1506 0.2612 0.7177  3 V 1.97-2.09, 1 Zn 2.15
O 0.1640 0.5000 0.4641  3 V 1.96-2.09, 1 Zn 2.15
O 0.1657 0.0000 0.4638  3 V 1.95-2.08, 1 Zn 2.15
O 0.1661 0.5000 0.9618  2 Zn 2.00-2.14, 2 V 2.02
O 0.1673 0.0000 0.9677  4 V 1.97-2.11
O 0.2719 0.5000 0.8444  3 V 2.02-2.09, 1 Zn 2.02
O 0.2783 0.0000 0.8497  3 V 1.96-2.07, 1 Zn 2.16
O 0.2814 0.5000 0.3471  3 V 1.97-2.08, 1 Zn 2.15
O 0.2831 0.0000 0.3481  3 V 1.96-2.08, 1 Zn 2.16
O 0.2951 0.2569 0.5968  2 V 1.95-2.03, 2 Zn 2.12-2.13
O 0.2994 0.2324 0.0952  2 Zn 2.01-2.12, 2 V 2.02
O 0.3996 0.2358 0.9681  3 V 1.97-2.07, 1 Zn 2.14
O 0.4007 0.2579 0.4651  2 V 1.95-2.03, 2 Zn 2.13
O 0.4143 0.5000 0.2130  3 V 1.96-2.08, 1 Zn 2.17
O 0.4164 0.0000 0.2158  3 V 1.94-2.09, 1 Zn 2.17
O 0.4157 0.5000 0.7105  2 Zn 2.02-2.11, 2 V 2.02
O 0.4197 0.0000 0.7186  4 V 1.99-2.13